(1)
DFT (GGA-PBE) results for a relaxed structure of ZnGaGe2O6.

SG ... No. 15
Raw formation energy ... -14.71 eV per formula unit

Cell lengths 6.6806, 6.6806, 5.3504 Å; angles 98.12, 98.12, 86.33 degrees
With the nearest neighbours (Å) after each atom.
Atoms (fractional coordinates):
Zn 0.0914 0.9086 0.7500  6 O 2.11-2.20
Zn 0.9086 0.0914 0.2500  6 O 2.11-2.20
Ga 0.2656 0.7344 0.2500  6 O 1.97-2.17
Ga 0.7344 0.2656 0.7500  6 O 1.97-2.17
Ge 0.2124 0.4023 0.7068  4 O 1.79-1.91
Ge 0.4023 0.2124 0.2068  4 O 1.79-1.91
Ge 0.5977 0.7876 0.7932  4 O 1.79-1.91
Ge 0.7876 0.5977 0.2932  4 O 1.79-1.91
O 0.0180 0.2126 0.6387  1 Ge 1.84
O 0.1480 0.6321 0.9012  1 Ge 1.79, 1 Ga 1.97
O 0.2126 0.0180 0.1387  1 Ge 1.84
O 0.2847 0.4410 0.3837  2 Ge 1.87-1.91
O 0.3679 0.8520 0.5988  1 Ge 1.79, 1 Ga 1.97
O 0.4410 0.2847 0.8837  2 Ge 1.87-1.91
O 0.5590 0.7153 0.1163  2 Ge 1.87-1.91
O 0.6321 0.1480 0.4012  1 Ge 1.79, 1 Ga 1.97
O 0.7153 0.5590 0.6163  2 Ge 1.87-1.91
O 0.7874 0.9820 0.8613  1 Ge 1.84
O 0.8520 0.3679 0.0988  1 Ge 1.79, 1 Ga 1.97
O 0.9820 0.7874 0.3613  1 Ge 1.84

***

(2)
DFT (GGA-PBE) results for a relaxed structure of Zr2GaGeO.

SG ... No. 123
Raw formation energy ... -4.09 eV per formula unit

Cell lengths 4.3854, 4.3854, 4.6036 Å; angles 90.00, 90.00, 90.00 degrees
With the nearest neighbours (Å) after each atom.
Atoms (fractional coordinates):
Zr 0.0000 0.5000 0.0000  2 O 2.19
Zr 0.5000 0.0000 0.0000  2 O 2.19
Ga 0.0000 0.0000 0.5000  4 Ge 3.10, 8 Zr 3.18
Ge 0.5000 0.5000 0.5000  2 O 2.30
O 0.5000 0.5000 0.0000  4 Zr 2.19, 2 Ge 2.30

***

(3)
DFT (GGA-PBE) results for a relaxed structure of GaGe2Os2.

ΔH_f (0 K) ... 194 meV/atom
SG ... No. 127

Cell lengths 7.2165, 7.2165, 2.9959 Å; angles 90.00, 90.00, 90.00 degrees
With the nearest neighbours (Å) after each atom.
Atoms (fractional coordinates):
Ga 0.0000 0.0000 0.0000  4 Os 2.74, 2 Ga 3.00
Ga 0.5000 0.5000 0.0000  4 Os 2.74, 2 Ga 3.00
Ge 0.1446 0.3554 0.5000  6 Os 2.55-2.62
Ge 0.3554 0.8554 0.5000  6 Os 2.55-2.62
Ge 0.6446 0.1446 0.5000  6 Os 2.55-2.62
Ge 0.8554 0.6446 0.5000  6 Os 2.55-2.62
Os 0.1529 0.6529 0.0000  6 Ge 2.55-2.62, 2 Ga 2.74
Os 0.3471 0.1529 0.0000  6 Ge 2.55-2.62, 2 Ga 2.74
Os 0.6529 0.8471 0.0000  6 Ge 2.55-2.62, 2 Ga 2.74
Os 0.8471 0.3471 0.0000  6 Ge 2.55-2.62, 2 Ga 2.74

***

(4)
DFT (GGA-PBE) results for a relaxed structure of GaGeOs3.

ΔH_f (0 K) ... 1673 meV/atom
SG ... No. 221

Cell lengths 4.5162, 4.5162, 4.5162 Å; angles 90.00, 90.00, 90.00 degrees
With the nearest neighbours (Å) after each atom.
Atoms (fractional coordinates):
Ga 0.0000 0.0000 0.0000  12 Os 3.19
Ge 0.5000 0.5000 0.5000  6 Os 2.26
Os 0.0000 0.5000 0.5000  2 Ge 2.26
Os 0.5000 0.0000 0.5000  2 Ge 2.26
Os 0.5000 0.5000 0.0000  2 Ge 2.26

***

(5)
DFT (GGA-PBE) results for a relaxed structure of GaGeOs2.

ΔH_f (0 K) ... 777 meV/atom
SG ... No. 122

Cell lengths 5.7300, 5.7300, 5.7300 Å; angles 101.42, 101.42, 127.16 degrees
With the nearest neighbours (Å) after each atom.
Atoms (fractional coordinates):
Ga 0.0000 0.0000 0.0000  2 Ge 2.55
Ga 0.7500 0.2500 0.5000  2 Ge 2.55
Ge 0.2500 0.7500 0.5000  4 Os 2.39, 2 Ga 2.55
Ge 0.5000 0.5000 0.0000  4 Os 2.39, 2 Ga 2.55
Os 0.1793 0.6250 0.0543  2 Ge 2.39, 2 Os 2.67
Os 0.3750 0.4293 0.5543  2 Ge 2.39, 2 Os 2.67
Os 0.5707 0.1250 0.9457  2 Ge 2.39, 2 Os 2.67
Os 0.8750 0.8207 0.4457  2 Ge 2.39, 2 Os 2.67

***

(6)
DFT (GGA-PBE) results for a relaxed structure of GaGeOs3.

ΔH_f (0 K) ... 1949 meV/atom
SG ... No. 221

Cell lengths 4.5293, 4.5293, 4.5293 Å; angles 90.00, 90.00, 90.00 degrees
With the nearest neighbours (Å) after each atom.
Atoms (fractional coordinates):
Ga 0.0000 0.0000 0.0000  6 Os 2.26
Ge 0.5000 0.5000 0.5000  12 Os 3.20
Os 0.0000 0.0000 0.5000  2 Ga 2.26
Os 0.0000 0.5000 0.0000  2 Ga 2.26
Os 0.5000 0.0000 0.0000  2 Ga 2.26

***

Size of the total moment values, unit μB per formula unit, following the record order: 0.0 0.0 0.0 0.8 0.0 1.1.